(1)
Below is a relaxed structure of In2SbPt, with properties calculated at the GGA-PBE level.

Cell lengths 4.9269, 4.9269, 4.2510 Å; angles 100.33, 100.33, 107.19 degrees
Closest atoms and distances in Å follow each position.
Fractional positions:
In1 0.0000 0.5000 0.0000  2 In 2.92, 2 Pt 2.95, 2 Sb 2.95
In2 0.5000 0.0000 0.0000  2 In 2.92, 2 Pt 2.95, 2 Sb 2.95
Sb1 0.0000 0.0000 0.5000  2 Pt 2.92, 4 In 2.95
Pt1 0.5000 0.5000 0.5000  2 Sb 2.92, 4 In 2.95

Summary:
Energy relative to the elements, uncorrected   7 kJ/mol of formula units
Crystal system   monoclinic

(2)
Below is a relaxed structure of In2SbPt, with properties calculated at the GGA-PBE level.

Cell lengths 4.1872, 5.6551, 5.6551 Å; angles 54.31, 90.00, 90.00 degrees
Closest atoms and distances in Å follow each position.
Fractional positions:
In1 0.0000 0.0000 0.0000  2 Pt 2.65
In2 0.5000 0.3781 0.3781  2 Pt 2.78, 2 Sb 3.02
Sb1 0.5000 0.7229 0.7229  2 Pt 2.66
Pt1 0.0000 0.5596 0.5596  4 In 2.65-2.78, 2 Sb 2.66

Summary:
Energy relative to the elements, uncorrected   -99 kJ/mol of formula units
Crystal system   orthorhombic

(3)
Below is a relaxed structure of InSb2Pt9, with properties calculated at the GGA-PBE level.

Cell lengths 4.0786, 4.0786, 12.1776 Å; angles 90.00, 90.00, 90.00 degrees
Closest atoms and distances in Å follow each position.
Fractional positions:
In1 0.0000 0.0000 0.0000  12 Pt 2.88
Sb1 0.0000 0.0000 0.3276  12 Pt 2.83-2.93
Sb2 0.0000 0.0000 0.6724  12 Pt 2.83-2.93
Pt1 0.0000 0.5000 0.1667  2 Sb 2.83, 2 In 2.88, 8 Pt 2.88-2.90
Pt2 0.0000 0.5000 0.5000  8 Pt 2.86-2.88, 4 Sb 2.93
Pt3 0.0000 0.5000 0.8333  2 Sb 2.83, 2 In 2.88, 8 Pt 2.88-2.90
Pt4 0.5000 0.0000 0.1667  2 Sb 2.83, 2 In 2.88, 8 Pt 2.88-2.90
Pt5 0.5000 0.0000 0.5000  8 Pt 2.86-2.88, 4 Sb 2.93
Pt6 0.5000 0.0000 0.8333  2 Sb 2.83, 2 In 2.88, 8 Pt 2.88-2.90
Pt7 0.5000 0.5000 0.0000  8 Pt 2.88, 4 In 2.88
Pt8 0.5000 0.5000 0.3358  8 Pt 2.86-2.90, 4 Sb 2.89
Pt9 0.5000 0.5000 0.6642  8 Pt 2.86-2.90, 4 Sb 2.89

Summary:
Energy relative to the elements, uncorrected   -296 kJ/mol of formula units
Crystal system   tetragonal

(4)
Below is a relaxed structure of InSb3Pt12, with properties calculated at the GGA-PBE level.

Cell lengths 4.0153, 4.0153, 17.3361 Å; angles 96.55, 96.55, 90.67 degrees
Closest atoms and distances in Å follow each position.
Fractional positions:
In1 0.0000 0.0000 0.0000  12 Pt 2.82-2.90
Sb1 0.1192 0.1192 0.2402  12 Pt 2.82-2.92
Sb2 0.2450 0.2450 0.4932  6 Pt 2.66-2.86
Sb3 0.8804 0.8804 0.7598  10 Pt 2.72-2.88
Pt1 0.0552 0.5634 0.6234  2 Sb 2.66-2.72, 6 Pt 2.75-2.90
Pt2 0.0608 0.5609 0.1224  8 Pt 2.82-2.90, 2 Sb 2.84, 2 In 2.90
Pt3 0.1811 0.6812 0.3644  8 Pt 2.82-2.86, 4 Sb 2.92-2.98
Pt4 0.3799 0.3799 0.7601  6 Pt 2.75-2.88, 4 Sb 2.82-2.86
Pt5 0.4404 0.9404 0.8803  8 Pt 2.82-2.89, 2 In 2.87, 2 Sb 2.88
Pt6 0.5009 0.5009 0.0018  4 In 2.82-2.86, 8 Pt 2.88-2.89
Pt7 0.5609 0.0608 0.1224  8 Pt 2.82-2.90, 2 Sb 2.84, 2 In 2.90
Pt8 0.5634 0.0552 0.6234  2 Sb 2.66-2.72, 6 Pt 2.75-2.90
Pt9 0.6216 0.6216 0.2450  4 Sb 2.82-2.86, 8 Pt 2.86-2.90
Pt10 0.6812 0.1811 0.3644  8 Pt 2.82-2.86, 4 Sb 2.92-2.98
Pt11 0.7392 0.7392 0.4826  6 Pt 2.79-2.85, 4 Sb 2.83-2.86
Pt12 0.9404 0.4404 0.8803  8 Pt 2.82-2.89, 2 In 2.87, 2 Sb 2.88

Summary:
Energy relative to the elements, uncorrected   -390 kJ/mol of formula units
Crystal system   monoclinic

(5)
Below is a relaxed structure of InSb2Pt2, with properties calculated at the GGA-PBE level.

Cell lengths 7.4216, 7.4216, 3.8796 Å; angles 90.00, 90.00, 90.00 degrees
Closest atoms and distances in Å follow each position.
Fractional positions:
In1 0.0000 0.0000 0.0000  4 Pt 2.88
In2 0.5000 0.5000 0.0000  4 Pt 2.88
Sb1 0.1643 0.3357 0.5000  6 Pt 2.86-2.96
Sb2 0.3357 0.8357 0.5000  6 Pt 2.86-2.96
Sb3 0.6643 0.1643 0.5000  6 Pt 2.86-2.96
Sb4 0.8357 0.6643 0.5000  6 Pt 2.86-2.96
Pt1 0.1361 0.6361 0.0000  6 Sb 2.86-2.96, 1 Pt 2.86, 2 In 2.88
Pt2 0.3639 0.1361 0.0000  6 Sb 2.86-2.96, 1 Pt 2.86, 2 In 2.88
Pt3 0.6361 0.8639 0.0000  6 Sb 2.86-2.96, 1 Pt 2.86, 2 In 2.88
Pt4 0.8639 0.3639 0.0000  6 Sb 2.86-2.96, 1 Pt 2.86, 2 In 2.88

Summary:
Energy relative to the elements, uncorrected   -84 kJ/mol of formula units
Crystal system   tetragonal
Distance to the lowest polymorph of the same formula   0 meV/atom

(6)
Below is a relaxed structure of In2SbPt, with properties calculated at the GGA-PBE level.

Cell lengths 3.2804, 3.2804, 8.4261 Å; angles 90.00, 90.00, 90.00 degrees
Closest atoms and distances in Å follow each position.
Fractional positions:
In1 0.0000 0.0000 0.2008  4 Pt 2.87
In2 0.0000 0.0000 0.7992  4 Pt 2.87
Sb1 0.5000 0.5000 0.5000  4 Sb 3.28, 8 In 3.43
Pt1 0.5000 0.5000 0.0000  8 In 2.87

Summary:
Energy relative to the elements, uncorrected   -40 kJ/mol of formula units
Crystal system   tetragonal

(7)
Below is a relaxed structure of InSbPt, with properties calculated at the GGA-PBE level.

Cell lengths 6.6588, 6.6588, 6.6588 Å; angles 151.38, 151.38, 40.92 degrees
Closest atoms and distances in Å follow each position.
Fractional positions:
In1 0.0000 0.0000 0.0000  4 Pt 2.97, 4 In 3.29
Sb1 0.2768 0.2768 0.0000  4 Pt 2.83
Pt1 0.6478 0.6478 0.0000  4 Sb 2.83, 4 In 2.97

Summary:
Energy relative to the elements, uncorrected   -48 kJ/mol of formula units
Crystal system   tetragonal

(8)
Below is a relaxed structure of In4SbPt, with properties calculated at the GGA-PBE level.

Cell lengths 5.9976, 5.9976, 5.9976 Å; angles 60.00, 60.00, 60.00 degrees
Closest atoms and distances in Å follow each position.
Fractional positions:
In1 0.1245 0.1245 0.1245  6 In 2.99-3.01
In2 0.1245 0.1245 0.6265  6 In 2.99-3.01
In3 0.1245 0.6265 0.1245  6 In 2.99-3.01
In4 0.6265 0.1245 0.1245  6 In 2.99-3.01
Sb1 0.5000 0.5000 0.5000  12 In 3.52, 4 Pt 3.67
Pt1 0.7500 0.7500 0.7500  12 In 3.52, 4 Sb 3.67

Summary:
Energy relative to the elements, uncorrected   227 kJ/mol of formula units
Crystal system   cubic

(9)
Below is a relaxed structure of In2SbPt, with properties calculated at the GGA-PBE level.

Cell lengths 7.0860, 7.0860, 7.0860 Å; angles 150.95, 144.88, 46.20 degrees
Closest atoms and distances in Å follow each position.
Fractional positions:
In1 0.1836 0.1836 0.0000  2 Pt 2.98, 2 Sb 3.21, 4 In 3.27
In2 0.8164 0.8164 0.0000  2 Pt 2.98, 2 Sb 3.21, 4 In 3.27
Sb1 0.5000 0.0000 0.5000  4 Pt 2.78
Pt1 0.0000 0.5000 0.5000  4 Sb 2.78, 4 In 2.98

Summary:
Energy relative to the elements, uncorrected   -42 kJ/mol of formula units
Crystal system   orthorhombic

(10)
Below is a relaxed structure of In2SbPt2, with properties calculated at the GGA-PBE level.

Cell lengths 7.5929, 7.5929, 7.5929 Å; angles 149.74, 149.74, 43.32 degrees
Closest atoms and distances in Å follow each position.
Fractional positions:
In1 0.1126 0.1126 0.0000  4 Pt 2.77
In2 0.8874 0.8874 0.0000  4 Pt 2.77
Sb1 0.5000 0.5000 0.0000  8 In 3.22
Pt1 0.2500 0.7500 0.5000  4 In 2.77, 4 Pt 2.80
Pt2 0.7500 0.2500 0.5000  4 In 2.77, 4 Pt 2.80

Summary:
Energy relative to the elements, uncorrected   -31 kJ/mol of formula units
Crystal system   tetragonal
Distance to the lowest polymorph of the same formula   247 meV/atom

(11)
Below is a relaxed structure of InSbPt, with properties calculated at the GGA-PBE level.

Cell lengths 4.5793, 4.6635, 6.5370 Å; angles 90.00, 90.24, 90.00 degrees
Closest atoms and distances in Å follow each position.
Fractional positions:
In1 0.2503 0.2500 0.0016  4 Pt 2.83-2.86
In2 0.7497 0.7500 0.9984  4 Pt 2.83-2.86
Sb1 0.2488 0.2500 0.4950  4 Pt 2.81-2.82
Sb2 0.7512 0.7500 0.5050  4 Pt 2.81-2.82
Pt1 0.2509 0.7500 0.2536  4 Sb 2.81-2.82, 4 In 2.83-2.86
Pt2 0.7491 0.2500 0.7464  4 Sb 2.81-2.82, 4 In 2.83-2.86

Summary:
Energy relative to the elements, uncorrected   -113 kJ/mol of formula units
Crystal system   monoclinic

(12)
Below is a relaxed structure of In2SbPt, with properties calculated at the GGA-PBE level.

Cell lengths 5.3900, 5.3900, 5.3900 Å; angles 130.12, 130.12, 73.22 degrees
Closest atoms and distances in Å follow each position.
Fractional positions:
In1 0.2500 0.7500 0.5000  4 Sb 3.14, 4 Pt 3.14, 4 In 3.21
In2 0.7500 0.2500 0.5000  4 Sb 3.14, 4 Pt 3.14, 4 In 3.21
Sb1 0.0000 0.0000 0.0000  8 In 3.14, 4 Pt 3.21
Pt1 0.5000 0.5000 0.0000  8 In 3.14, 4 Sb 3.21

Summary:
Energy relative to the elements, uncorrected   10 kJ/mol of formula units
Crystal system   tetragonal

(13)
Below is a relaxed structure of InSb2Pt2, with properties calculated at the GGA-PBE level.

Cell lengths 6.7568, 6.7568, 6.7568 Å; angles 140.29, 140.29, 57.42 degrees
Closest atoms and distances in Å follow each position.
Fractional positions:
In1 0.0000 0.0000 0.0000  8 Sb 3.62, 8 Pt 3.75
Sb1 0.3651 0.3651 0.0000  4 Pt 2.67
Sb2 0.6349 0.6349 0.0000  4 Pt 2.67
Pt1 0.2500 0.7500 0.5000  4 Sb 2.67
Pt2 0.7500 0.2500 0.5000  4 Sb 2.67

Summary:
Energy relative to the elements, uncorrected   -79 kJ/mol of formula units
Crystal system   tetragonal
Distance to the lowest polymorph of the same formula   11 meV/atom

(14)
Below is a relaxed structure of In2SbPt, with properties calculated at the GGA-PBE level.

Cell lengths 5.3067, 5.3067, 5.3067 Å; angles 128.16, 128.16, 76.36 degrees
Closest atoms and distances in Å follow each position.
Fractional positions:
In1 0.0000 0.0000 0.0000  4 In 3.12, 4 Pt 3.12, 4 Sb 3.28
In2 0.7500 0.2500 0.5000  4 In 3.12, 4 Sb 3.12, 4 Pt 3.28
Sb1 0.5000 0.5000 0.0000  8 In 3.12-3.28, 4 Pt 3.12
Pt1 0.2500 0.7500 0.5000  8 In 3.12-3.28, 4 Sb 3.12

Summary:
Energy relative to the elements, uncorrected   15 kJ/mol of formula units
Crystal system   tetragonal

Number 1: final energy -3.893 eV/atom. Number 2: final energy -4.167 eV/atom. Number 3: final energy -5.701 eV/atom. Number 4: final energy -5.728 eV/atom. Number 5: final energy -4.787 eV/atom. Number 6: final energy -4.013 eV/atom. Number 7: final energy -4.468 eV/atom. Number 8: final energy -3.127 eV/atom. Number 9: final energy -4.019 eV/atom. Number 10: final energy -4.400 eV/atom. Number 11: final energy -4.690 eV/atom. Number 12: final energy -3.884 eV/atom. Number 13: final energy -4.776 eV/atom. Number 14: final energy -3.870 eV/atom.